Density functional theory data (GGA-PBEsol) for crystalline InNi6Sb at its relaxed geometry.

Cell lengths 6.3628, 6.3628, 10.3877 Å; angles 90.00, 90.00, 109.45 degrees
Last column: nearest neighbours and their distance in Å.
Atoms (fractional coordinates):
Ni  0.3725  0.1233  0.3761  8 Ni 2.57-2.61, 3 Sb 2.59-2.61, 1 In 2.62
Ni  0.2501  0.7499  0.2529  2 Sb 2.57-2.60, 8 Ni 2.58-2.62, 2 In 2.60-2.63
Ni  0.8767  0.6275  0.3761  8 Ni 2.57-2.61, 3 Sb 2.59-2.61, 1 In 2.62
Ni  0.5000  0.5000  0.5000  2 Sb 2.58, 8 Ni 2.60, 2 In 2.62
Ni  0.1225  0.3732  0.1263  1 Sb 2.56, 8 Ni 2.59-2.62, 3 In 2.59-2.60
Ni  0.5000  0.5000  0.0000  4 In 2.58, 8 Ni 2.62
Ni  0.8775  0.6268  0.1263  1 Sb 2.56, 8 Ni 2.59-2.62, 3 In 2.59-2.60
Ni  0.6268  0.8775  0.8737  1 Sb 2.56, 8 Ni 2.59-2.62, 3 In 2.59-2.60
Ni  0.0000  0.0000  0.0000  2 Sb 2.56, 8 Ni 2.60, 2 In 2.62
Ni  0.1233  0.3725  0.6239  8 Ni 2.57-2.61, 3 Sb 2.59-2.61, 1 In 2.62
Ni  0.6275  0.8767  0.6239  8 Ni 2.57-2.61, 3 Sb 2.59-2.61, 1 In 2.62
Ni  0.6275  0.8767  0.3761  8 Ni 2.57-2.61, 3 Sb 2.59-2.61, 1 In 2.62
Ni  0.7499  0.2501  0.7471  2 Sb 2.57-2.60, 8 Ni 2.58-2.62, 2 In 2.60-2.63
Ni  0.8767  0.6275  0.6239  8 Ni 2.57-2.61, 3 Sb 2.59-2.61, 1 In 2.62
Ni  0.3732  0.1225  0.8737  1 Sb 2.56, 8 Ni 2.59-2.62, 3 In 2.59-2.60
Ni  0.8775  0.6268  0.8737  1 Sb 2.56, 8 Ni 2.59-2.62, 3 In 2.59-2.60
Ni  0.0000  0.0000  0.5000  8 Ni 2.58, 4 Sb 2.62-2.63
Ni  0.3732  0.1225  0.1263  1 Sb 2.56, 8 Ni 2.59-2.62, 3 In 2.59-2.60
Ni  0.6268  0.8775  0.1263  1 Sb 2.56, 8 Ni 2.59-2.62, 3 In 2.59-2.60
Ni  0.7499  0.2501  0.2529  2 Sb 2.57-2.60, 8 Ni 2.58-2.62, 2 In 2.60-2.63
Ni  0.3725  0.1233  0.6239  8 Ni 2.57-2.61, 3 Sb 2.59-2.61, 1 In 2.62
Ni  0.1225  0.3732  0.8737  1 Sb 2.56, 8 Ni 2.59-2.62, 3 In 2.59-2.60
Ni  0.1233  0.3725  0.3761  8 Ni 2.57-2.61, 3 Sb 2.59-2.61, 1 In 2.62
Ni  0.2501  0.7499  0.7471  2 Sb 2.57-2.60, 8 Ni 2.58-2.62, 2 In 2.60-2.63
In  0.5000  0.5000  0.2479  12 Ni 2.58-2.62
In  0.2520  0.7480  0.0000  12 Ni 2.58-2.63
In  0.7480  0.2520  0.0000  12 Ni 2.58-2.63
In  0.5000  0.5000  0.7521  12 Ni 2.58-2.62
Sb  0.7482  0.2518  0.5000  12 Ni 2.57-2.62
Sb  0.2518  0.7482  0.5000  12 Ni 2.57-2.62
Sb  0.0000  0.0000  0.7536  12 Ni 2.56-2.63
Sb  0.0000  0.0000  0.2464  12 Ni 2.56-2.63

Results
- raw total energy (eV per cell) = -182.941
- magnetic moment (μB per cell) = 0.00
- crystal system = orthorhombic



Density functional theory data (GGA-PBEsol) for crystalline InNiSb2 at its relaxed geometry.

Cell lengths 4.1424, 4.1169, 5.0466 Å; angles 90.00, 90.00, 90.00 degrees
Last column: nearest neighbours and their distance in Å.
Atoms (fractional coordinates):
In  0.5000  0.5000  0.0000  8 Sb 2.92-3.26, 4 Ni 3.26
Ni  0.0000  0.5000  0.5000  8 Sb 2.92-3.26, 4 In 3.26
Sb  0.0000  0.0000  0.0000  4 In 2.92, 4 Ni 3.26, 4 Sb 3.26
Sb  0.5000  0.0000  0.5000  4 Ni 2.92, 4 In 3.26, 4 Sb 3.26

Results
- raw total energy (eV per cell) = -16.886
- magnetic moment (μB per cell) = 0.00
- crystal system = orthorhombic



Number 1: formation energy (no corrections) -0.156 eV/atom. Number 2: formation energy (no corrections) 0.342 eV/atom.